Entry 1:
Here is a relaxed structure of ThGa2Ir2Au from Alexandria via LeMat-Bulk. Energies are from GGA-PBE.

Calculated values
Formation enthalpy at 0 K in eV per atom: 0.056
Crystal system: tetragonal

Cell: 4.657 4.657 5.723 Å, 90.00 90.00 90.00°
Space group P4/mmm (No. 123)
Unique sites:
Th 0.000 0.000 0.000
Ga 0.000 0.500 0.500
Ir 0.500 0.500 0.224
Au 0.000 0.000 0.500

=====

Entry 2:
Here is a relaxed structure of Mg2Sb from Alexandria via LeMat-Bulk. Energies are from GGA-PBE.

Calculated values
Total energy in eV per atom: -2.579
Crystal system: monoclinic

Cell: 11.635 3.788 7.489 Å, 90.00 114.96 90.00°
Space group C2/m (No. 12)
Unique sites:
Mg 0.058 0.000 0.328
Mg 0.137 0.500 0.041
Sb 0.175 0.500 0.681